# 1
First-principles (SCAN) data for a crystal of NaSrTl2S relaxed with PBEsol, as listed in the Alexandria database.

a b c (Å): 6.007 6.007 6.022
angles (deg): 90.00 90.00 90.00
Space group P4/mmm (No. 123)
Inequivalent atoms, fractional coordinates:
Na (0.000, 0.000, 0.000) (multiplicity 1)
Sr (0.000, 0.000, 0.500) (multiplicity 1)
Tl (0.000, 0.500, 0.500) (multiplicity 2)
S (0.500, 0.500, 0.000) (multiplicity 1)

The density of states at the Fermi level comes out at 5.06 states/eV per cell. The calculation puts the electronic total energy at -35.4232 eV/atom. Its size of the total moment is 0.00 μB per formula unit. The formation energy from raw total energies comes out at 0.74 eV/atom.

# 2
First-principles (SCAN) data for a crystal of Co2TeW relaxed with PBEsol, as listed in the Alexandria database.

a b c (Å): 3.144 3.144 5.740
angles (deg): 90.00 90.00 90.00
Space group P4mm (No. 99)
Inequivalent atoms, fractional coordinates:
Co (0.000, 0.000, 0.000) (multiplicity 1)
Co (0.500, 0.500, 0.225) (multiplicity 1)
Te (0.000, 0.000, 0.449) (multiplicity 1)
W (0.500, 0.500, 0.793) (multiplicity 1)

The density of states at the Fermi level comes out at 3.34 states/eV per cell. The calculation puts the electronic total energy at -34.7985 eV/atom. Its size of the total moment is 0.41 μB per formula unit. The formation energy from raw total energies comes out at 0.59 eV/atom.

# 3
First-principles (SCAN) data for a crystal of LiTlAs2 relaxed with PBEsol, as listed in the Alexandria database.

a b c (Å): 3.0616 3.0616 29.8503
angles (deg): 90.00 90.00 120.00
Space group R-3m (No. 166, hexagonal axes)
Inequivalent atoms, fractional coordinates:
Li (0.0000, 0.0000, 0.0000) (multiplicity 3)
Tl (0.0000, 0.0000, 0.5000) (multiplicity 3)
As (0.0000, 0.0000, 0.2632) (multiplicity 6)

The density of states at the Fermi level comes out at 4.37 states/eV per cell. The calculation puts the electronic total energy at -28.7657 eV/atom. Its size of the total moment is 0.00 μB per formula unit.

# 4
First-principles (SCAN) data for a crystal of Rb2NaAl3F12 relaxed with PBEsol, as listed in the Alexandria database.

a b c (Å): 7.073 7.007 9.838
angles (deg): 90.00 90.73 90.00
Space group P2_1/m (No. 11)
Inequivalent atoms, fractional coordinates:
Rb (0.001, 0.250, 0.112) (multiplicity 2)
Rb (0.473, 0.250, 0.360) (multiplicity 2)
Na (0.213, 0.750, 0.243) (multiplicity 2)
Al (0.000, 0.000, 0.500) (multiplicity 2)
Al (0.297, 0.250, 0.725) (multiplicity 2)
Al (0.500, 0.000, 0.000) (multiplicity 2)
F (0.079, 0.750, 0.504) (multiplicity 2)
F (0.091, 0.250, 0.822) (multiplicity 2)
F (0.138, 0.036, 0.354) (multiplicity 4)
F (0.206, 0.063, 0.609) (multiplicity 4)
F (0.271, 0.541, 0.063) (multiplicity 4)
F (0.398, 0.058, 0.832) (multiplicity 4)
F (0.483, 0.250, 0.057) (multiplicity 2)
F (0.489, 0.750, 0.366) (multiplicity 2)

The density of states at the Fermi level comes out at 0.00 states/eV per cell. The calculation puts the electronic total energy at -9.8120 eV/atom. Its size of the total moment is 0.00 μB per formula unit. The formation energy from raw total energies comes out at -3.62 eV/atom.

# 5
First-principles (SCAN) data for a crystal of CoSeBr2 relaxed with PBEsol, as listed in the Alexandria database.

a b c (Å): 3.436 4.055 6.418
angles (deg): 90.00 90.00 90.00
Space group Pmmm (No. 47)
Inequivalent atoms, fractional coordinates:
Co (0.000, 0.000, 0.000) (multiplicity 1)
Se (0.500, 0.000, 0.500) (multiplicity 1)
Br (0.000, 0.500, 0.500) (multiplicity 1)
Br (0.500, 0.500, 0.000) (multiplicity 1)

The density of states at the Fermi level comes out at 2.56 states/eV per cell. The calculation puts the electronic total energy at -18.7781 eV/atom. Its size of the total moment is 2.27 μB per formula unit. The formation energy from raw total energies comes out at 0.30 eV/atom.

# 6
First-principles (SCAN) data for a crystal of MnPOs2 relaxed with PBEsol, as listed in the Alexandria database.

a b c (Å): 5.919 5.919 5.919
angles (deg): 90.00 90.00 90.00
Space group F-43m (No. 216)
Inequivalent atoms, fractional coordinates:
Mn (0.000, 0.000, 0.000) (multiplicity 4)
P (0.250, 0.250, 0.250) (multiplicity 4)
Os (0.000, 0.000, 0.500) (multiplicity 4)
Os (0.250, 0.250, 0.750) (multiplicity 4)

The density of states at the Fermi level comes out at 11.08 states/eV per cell. The calculation puts the electronic total energy at -42.6653 eV/atom. Its size of the total moment is 3.50 μB per formula unit.

# 7
First-principles (SCAN) data for a crystal of Ag2POs relaxed with PBEsol, as listed in the Alexandria database.

a b c (Å): 2.7821 2.7821 27.0859
angles (deg): 90.00 90.00 120.00
Space group R-3m (No. 166, hexagonal axes)
Inequivalent atoms, fractional coordinates:
Ag (0.0000, 0.0000, 0.2477) (multiplicity 6)
P (0.0000, 0.0000, 0.5000) (multiplicity 3)
Os (0.0000, 0.0000, 0.0000) (multiplicity 3)

The density of states at the Fermi level comes out at 6.39 states/eV per cell. The calculation puts the electronic total energy at -35.5975 eV/atom. Its size of the total moment is 0.64 μB per formula unit.

# 8
First-principles (SCAN) data for a crystal of ZrPtAu2 relaxed with PBEsol, as listed in the Alexandria database.

a b c (Å): 4.061 4.061 8.314
angles (deg): 90.00 90.00 90.00
Space group I4/mmm (No. 139)
Inequivalent atoms, fractional coordinates:
Zr (0.000, 0.000, 0.000) (multiplicity 2)
Pt (0.000, 0.000, 0.500) (multiplicity 2)
Au (0.000, 0.500, 0.250) (multiplicity 4)

The density of states at the Fermi level comes out at 3.96 states/eV per cell. The calculation puts the electronic total energy at -60.5521 eV/atom. Its size of the total moment is 0.00 μB per formula unit.

# 9
First-principles (SCAN) data for a crystal of Li3PdAu relaxed with PBEsol, as listed in the Alexandria database.

a b c (Å): 4.610 4.610 4.610
angles (deg): 90.00 90.00 90.00
Space group Pm-3m (No. 221)
Inequivalent atoms, fractional coordinates:
Li (0.000, 0.000, 0.500) (multiplicity 3)
Pd (0.500, 0.500, 0.500) (multiplicity 1)
Au (0.000, 0.000, 0.000) (multiplicity 1)

The density of states at the Fermi level comes out at 0.71 states/eV per cell. The calculation puts the electronic total energy at -21.7936 eV/atom. Its size of the total moment is 0.00 μB per formula unit.

# 10
First-principles (SCAN) data for a crystal of LiAl2Ga2 relaxed with PBEsol, as listed in the Alexandria database.

a b c (Å): 4.045 4.045 11.226
angles (deg): 90.00 90.00 90.00
Space group I4/mmm (No. 139)
Inequivalent atoms, fractional coordinates:
Li (0.000, 0.000, 0.000) (multiplicity 2)
Al (0.000, 0.500, 0.250) (multiplicity 4)
Ga (0.000, 0.000, 0.393) (multiplicity 4)

The density of states at the Fermi level comes out at 1.84 states/eV per cell. The calculation puts the electronic total energy at -10.2697 eV/atom. Its size of the total moment is 0.00 μB per formula unit. The value obtained for the energy above the most stable polymorph in this dataset is 0.00 kcal/mol of atoms.

# 11
First-principles (SCAN) data for a crystal of BeNb2Ag2 relaxed with PBEsol, as listed in the Alexandria database.

a b c (Å): 3.605 3.605 13.811
angles (deg): 90.00 90.00 90.00
Space group I4/mmm (No. 139)
Inequivalent atoms, fractional coordinates:
Be (0.000, 0.000, 0.000) (multiplicity 2)
Nb (0.000, 0.000, 0.419) (multiplicity 4)
Ag (0.000, 0.500, 0.250) (multiplicity 4)

The density of states at the Fermi level comes out at 7.73 states/eV per cell. The calculation puts the electronic total energy at -25.8956 eV/atom. Its size of the total moment is 0.00 μB per formula unit.

# 12
First-principles (SCAN) data for a crystal of Li2YTl2 relaxed with PBEsol, as listed in the Alexandria database.

a b c (Å): 8.089 8.089 3.224
angles (deg): 90.00 90.00 90.00
Space group P4/mbm (No. 127)
Inequivalent atoms, fractional coordinates:
Li (0.116, 0.384, 0.000) (multiplicity 4)
Y (0.000, 0.000, 0.000) (multiplicity 2)
Tl (0.181, 0.681, 0.500) (multiplicity 4)

The density of states at the Fermi level comes out at 5.02 states/eV per cell. The calculation puts the electronic total energy at -35.8650 eV/atom. Its size of the total moment is 0.31 μB per formula unit. The value obtained for the energy above the most stable polymorph in this dataset is 0.77 kcal/mol of atoms.